Entry 1:
## Dy3In3Ni2Pt (GGA-PBE)

Data for Dy3In3Ni2Pt after structural relaxation.

Values from the calculation:
- Total magnetization: 0.05 Bohr magnetons per cell
- VASP energy: -4.995 eV per atom

Geometry as CIF:
```
data_Dy3In3Ni2Pt
_chemical_formula_sum 'Dy3 In3 Ni2 Pt1'
_cell_length_a 7.4285
_cell_length_b 7.4285
_cell_length_c 3.9459
_cell_angle_alpha 90.00
_cell_angle_beta 90.00
_cell_angle_gamma 120.00
_space_group_name_H-M_alt 'P -6 2 m'
_space_group_IT_number 189
_space_group_name_Hall 'P -6 -2'
loop_
_atom_site_label
_atom_site_type_symbol
_atom_site_fract_x
_atom_site_fract_y
_atom_site_fract_z
Dy1 Dy 0.0000 0.5933 0.0000
In1 In 0.0000 0.2659 0.5000
Ni1 Ni 0.3333 0.6667 0.5000
Pt1 Pt 0.0000 0.0000 0.0000
```

Entry 2:
## Dy3In2NiSnPt2 (GGA-PBE)

Data for Dy3In2NiSnPt2 after structural relaxation.

Values from the calculation:
- Total magnetization: 0.01 Bohr magnetons per cell
- VASP energy: -5.466 eV per atom

Geometry as CIF:
```
data_Dy3In2NiSnPt2
_chemical_formula_sum 'Dy6 In4 Ni2 Sn2 Pt4'
_cell_length_a 3.796
_cell_length_b 13.202
_cell_length_c 7.630
_cell_angle_alpha 90.00
_cell_angle_beta 90.00
_cell_angle_gamma 90.00
_space_group_name_H-M_alt 'A m m 2'
_space_group_IT_number 38
loop_
_space_group_symop_operation_xyz
'x,y,z'
'-x,-y,z'
'-x,y,z'
'x,-y,z'
'x,y+1/2,z+1/2'
'-x,-y+1/2,z+1/2'
'-x,y+1/2,z+1/2'
'x,-y+1/2,z+1/2'
loop_
_atom_site_label
_atom_site_type_symbol
_atom_site_fract_x
_atom_site_fract_y
_atom_site_fract_z
Dy1 Dy 0.000 0.000 0.000
Dy2 Dy 0.000 0.204 0.389
In1 In 0.500 0.125 0.718
Ni1 Ni 0.000 0.000 0.586
Sn1 Sn 0.500 0.000 0.344
Pt1 Pt 0.500 0.166 0.093
```

Entry 3:
## DyScIn2Ni4 (GGA-PBE)

Data for DyScIn2Ni4 after structural relaxation.

Values from the calculation:
- Total magnetization: 0.00 Bohr magnetons per cell
- VASP energy: -5.244 eV per atom

Geometry as CIF:
```
data_DyScIn2Ni4
_chemical_formula_sum 'Dy1 Sc1 In2 Ni4'
_cell_length_a 4.3737
_cell_length_b 4.3737
_cell_length_c 8.1807
_cell_angle_alpha 90.00
_cell_angle_beta 90.00
_cell_angle_gamma 120.00
_space_group_name_H-M_alt 'P -6 m 2'
_space_group_IT_number 187
_space_group_name_Hall 'P -6 2'
loop_
_atom_site_label
_atom_site_type_symbol
_atom_site_fract_x
_atom_site_fract_y
_atom_site_fract_z
Dy1 Dy 0.0000 0.0000 0.0000
Sc1 Sc 0.6667 0.3333 0.5000
In1 In 0.3333 0.6667 0.2634
Ni1 Ni 0.0000 0.0000 0.3481
Ni2 Ni 0.6667 0.3333 0.1709
```

Entry 4:
## Dy2Tm2InSi4Ni2 (GGA-PBE)

Data for Dy2Tm2InSi4Ni2 after structural relaxation.

Values from the calculation:
- Total magnetization: 0.00 Bohr magnetons per cell
- VASP energy: -5.679 eV per atom

Geometry as CIF:
```
data_Dy2Tm2InSi4Ni2
_chemical_formula_sum 'Dy4 Tm4 In2 Si8 Ni4'
_cell_length_a 15.188
_cell_length_b 4.172
_cell_length_c 6.890
_cell_angle_alpha 90.00
_cell_angle_beta 109.04
_cell_angle_gamma 90.00
_space_group_name_H-M_alt 'C 1 2/m 1'
_space_group_IT_number 12
loop_
_space_group_symop_operation_xyz
'x,y,z'
'-x,-y,-z'
'-x,y,-z'
'x,-y,z'
'x+1/2,y+1/2,z'
'-x+1/2,-y+1/2,-z'
'-x+1/2,y+1/2,-z'
'x+1/2,-y+1/2,z'
loop_
_atom_site_label
_atom_site_type_symbol
_atom_site_fract_x
_atom_site_fract_y
_atom_site_fract_z
Dy1 Dy 0.090 0.000 0.388
Tm1 Tm 0.156 0.000 0.937
In1 In 0.000 0.500 0.000
Si1 Si 0.064 0.500 0.658
Si2 Si 0.206 0.500 0.276
Ni1 Ni 0.216 0.500 0.645
```

Entry 5:
## SmDy2In3Ni3 (GGA-PBE)

Data for SmDy2In3Ni3 after structural relaxation.

Values from the calculation:
- Total magnetization: 0.09 Bohr magnetons per cell
- VASP energy: -4.817 eV per atom

Geometry as CIF:
```
data_SmDy2In3Ni3
_chemical_formula_sum 'Sm2 Dy4 In6 Ni6'
_cell_length_a 3.814
_cell_length_b 12.924
_cell_length_c 7.485
_cell_angle_alpha 90.00
_cell_angle_beta 90.00
_cell_angle_gamma 90.00
_space_group_name_H-M_alt 'A m m 2'
_space_group_IT_number 38
loop_
_space_group_symop_operation_xyz
'x,y,z'
'-x,-y,z'
'-x,y,z'
'x,-y,z'
'x,y+1/2,z+1/2'
'-x,-y+1/2,z+1/2'
'-x,y+1/2,z+1/2'
'x,-y+1/2,z+1/2'
loop_
_atom_site_label
_atom_site_type_symbol
_atom_site_fract_x
_atom_site_fract_y
_atom_site_fract_z
Sm1 Sm 0.000 0.000 0.000
Dy1 Dy 0.000 0.205 0.383
In1 In 0.500 0.000 0.337
In2 In 0.500 0.128 0.713
Ni1 Ni 0.000 0.000 0.587
Ni2 Ni 0.500 0.168 0.089
```

Entry 6:
## Dy2Tm2InNi2Sn4 (GGA-PBE)

Data for Dy2Tm2InNi2Sn4 after structural relaxation.

Values from the calculation:
- Total magnetization: 0.00 Bohr magnetons per cell
- VASP energy: -4.983 eV per atom

Geometry as CIF:
```
data_Dy2Tm2InNi2Sn4
_chemical_formula_sum 'Dy4 Tm4 In2 Ni4 Sn8'
_cell_length_a 16.059
_cell_length_b 4.547
_cell_length_c 7.365
_cell_angle_alpha 90.00
_cell_angle_beta 109.89
_cell_angle_gamma 90.00
_space_group_name_H-M_alt 'C 1 2/m 1'
_space_group_IT_number 12
loop_
_space_group_symop_operation_xyz
'x,y,z'
'-x,-y,-z'
'-x,y,-z'
'x,-y,z'
'x+1/2,y+1/2,z'
'-x+1/2,-y+1/2,-z'
'-x+1/2,y+1/2,-z'
'x+1/2,-y+1/2,z'
loop_
_atom_site_label
_atom_site_type_symbol
_atom_site_fract_x
_atom_site_fract_y
_atom_site_fract_z
Dy1 Dy 0.091 0.000 0.392
Tm1 Tm 0.158 0.000 0.954
In1 In 0.000 0.500 0.000
Ni1 Ni 0.222 0.500 0.652
Sn1 Sn 0.071 0.500 0.679
Sn2 Sn 0.202 0.500 0.274
```

Entry 7:
## SrDyIn4Ni2 (GGA-PBE)

Data for SrDyIn4Ni2 after structural relaxation.

Values from the calculation:
- Total magnetization: 0.00 Bohr magnetons per cell
- VASP energy: -3.914 eV per atom

Geometry as CIF:
```
data_SrDyIn4Ni2
_chemical_formula_sum 'Sr2 Dy2 In8 Ni4'
_cell_length_a 7.661
_cell_length_b 4.350
_cell_length_c 10.567
_cell_angle_alpha 90.00
_cell_angle_beta 90.00
_cell_angle_gamma 90.00
_space_group_name_H-M_alt 'A m m 2'
_space_group_IT_number 38
loop_
_space_group_symop_operation_xyz
'x,y,z'
'-x,-y,z'
'-x,y,z'
'x,-y,z'
'x,y+1/2,z+1/2'
'-x,-y+1/2,z+1/2'
'-x,y+1/2,z+1/2'
'x,-y+1/2,z+1/2'
loop_
_atom_site_label
_atom_site_type_symbol
_atom_site_fract_x
_atom_site_fract_y
_atom_site_fract_z
Sr1 Sr 0.000 0.000 0.000
Dy1 Dy 0.500 0.000 0.120
In1 In 0.203 0.000 0.710
In2 In 0.307 0.000 0.410
Ni1 Ni 0.000 0.000 0.280
Ni2 Ni 0.500 0.000 0.841
```

Entry 8:
## TbDyInNi2 (GGA-PBE)

Data for TbDyInNi2 after structural relaxation.

Values from the calculation:
- Total magnetization: 0.01 Bohr magnetons per cell
- VASP energy: -5.158 eV per atom

Geometry as CIF:
```
data_TbDyInNi2
_chemical_formula_sum 'Tb2 Dy2 In2 Ni4'
_cell_length_a 3.682
_cell_length_b 3.913
_cell_length_c 14.248
_cell_angle_alpha 90.00
_cell_angle_beta 90.00
_cell_angle_gamma 90.00
_space_group_name_H-M_alt 'A m m 2'
_space_group_IT_number 38
loop_
_space_group_symop_operation_xyz
'x,y,z'
'-x,-y,z'
'-x,y,z'
'x,-y,z'
'x,y+1/2,z+1/2'
'-x,-y+1/2,z+1/2'
'-x,y+1/2,z+1/2'
'x,-y+1/2,z+1/2'
loop_
_atom_site_label
_atom_site_type_symbol
_atom_site_fract_x
_atom_site_fract_y
_atom_site_fract_z
Tb1 Tb 0.000 0.000 0.000
Dy1 Dy 0.000 0.000 0.724
In1 In 0.500 0.000 0.362
Ni1 Ni 0.500 0.000 0.163
Ni2 Ni 0.500 0.000 0.562
```

Entry 9:
## DyTmIn2Ni4 (GGA-PBE)

Data for DyTmIn2Ni4 after structural relaxation.

Values from the calculation:
- Total magnetization: 0.00 Bohr magnetons per cell
- VASP energy: -5.020 eV per atom

Geometry as CIF:
```
data_DyTmIn2Ni4
_chemical_formula_sum 'Dy1 Tm1 In2 Ni4'
_cell_length_a 4.3905
_cell_length_b 4.3905
_cell_length_c 8.4010
_cell_angle_alpha 90.00
_cell_angle_beta 90.00
_cell_angle_gamma 120.00
_space_group_name_H-M_alt 'P -6 m 2'
_space_group_IT_number 187
_space_group_name_Hall 'P -6 2'
loop_
_atom_site_label
_atom_site_type_symbol
_atom_site_fract_x
_atom_site_fract_y
_atom_site_fract_z
Dy1 Dy 0.0000 0.0000 0.0000
Tm1 Tm 0.6667 0.3333 0.5000
In1 In 0.3333 0.6667 0.2527
Ni1 Ni 0.0000 0.0000 0.3397
Ni2 Ni 0.6667 0.3333 0.1668
```

Entry 10:
## DyYIn2Ni4 (GGA-PBE)

Data for DyYIn2Ni4 after structural relaxation.

Values from the calculation:
- Total magnetization: 0.00 Bohr magnetons per cell
- VASP energy: -5.260 eV per atom
- Energy above the lowest structure with this stoichiometry: 53 meV/atom

Geometry as CIF:
```
data_DyYIn2Ni4
_chemical_formula_sum 'Dy1 Y1 In2 Ni4'
_cell_length_a 4.4005
_cell_length_b 4.4005
_cell_length_c 8.4848
_cell_angle_alpha 90.00
_cell_angle_beta 90.00
_cell_angle_gamma 120.00
_space_group_name_H-M_alt 'P -6 m 2'
_space_group_IT_number 187
_space_group_name_Hall 'P -6 2'
loop_
_atom_site_label
_atom_site_type_symbol
_atom_site_fract_x
_atom_site_fract_y
_atom_site_fract_z
Dy1 Dy 0.0000 0.0000 0.0000
Y1 Y 0.6667 0.3333 0.5000
In1 In 0.3333 0.6667 0.2497
Ni1 Ni 0.0000 0.0000 0.3324
Ni2 Ni 0.6667 0.3333 0.1640
```

Entry 11:
## DyYIn2Ni4 (GGA-PBE)

Data for DyYIn2Ni4 after structural relaxation.

Values from the calculation:
- Total magnetization: 0.00 Bohr magnetons per cell
- VASP energy: -5.312 eV per atom
- Energy above the lowest structure with this stoichiometry: 0 meV/atom

Geometry as CIF:
```
data_DyYIn2Ni4
_chemical_formula_sum 'Dy1 Y1 In2 Ni4'
_cell_length_a 4.003
_cell_length_b 5.114
_cell_length_c 7.012
_cell_angle_alpha 90.00
_cell_angle_beta 90.00
_cell_angle_gamma 90.00
_space_group_name_H-M_alt 'P m m 2'
_space_group_IT_number 25
loop_
_space_group_symop_operation_xyz
'x,y,z'
'-x,-y,z'
'-x,y,z'
'x,-y,z'
loop_
_atom_site_label
_atom_site_type_symbol
_atom_site_fract_x
_atom_site_fract_y
_atom_site_fract_z
Dy1 Dy 0.000 0.000 0.000
Y1 Y 0.000 0.500 0.536
In1 In 0.500 0.000 0.621
In2 In 0.500 0.500 0.911
Ni1 Ni 0.000 0.000 0.378
Ni2 Ni 0.000 0.500 0.153
Ni3 Ni 0.500 0.250 0.265
```

Entry 12:
## DyYInNi2 (GGA-PBE)

Data for DyYInNi2 after structural relaxation.

Values from the calculation:
- Total magnetization: 0.00 Bohr magnetons per cell
- VASP energy: -5.526 eV per atom

Geometry as CIF:
```
data_DyYInNi2
_chemical_formula_sum 'Dy2 Y2 In2 Ni4'
_cell_length_a 3.722
_cell_length_b 3.887
_cell_length_c 14.151
_cell_angle_alpha 90.00
_cell_angle_beta 90.00
_cell_angle_gamma 90.00
_space_group_name_H-M_alt 'A m m 2'
_space_group_IT_number 38
loop_
_space_group_symop_operation_xyz
'x,y,z'
'-x,-y,z'
'-x,y,z'
'x,-y,z'
'x,y+1/2,z+1/2'
'-x,-y+1/2,z+1/2'
'-x,y+1/2,z+1/2'
'x,-y+1/2,z+1/2'
loop_
_atom_site_label
_atom_site_type_symbol
_atom_site_fract_x
_atom_site_fract_y
_atom_site_fract_z
Dy1 Dy 0.000 0.000 0.000
Y1 Y 0.000 0.000 0.727
In1 In 0.500 0.000 0.363
Ni1 Ni 0.500 0.000 0.163
Ni2 Ni 0.500 0.000 0.561
```

Question: Which formula does entry 7 have?
Answer: SrDyIn4Ni2